[1]
The following is a PBE-GGA calculation of crystalline Ca2Al12Cu5 at its relaxed geometry, from Alexandria via LeMat-Bulk.

Formation enthalpy at 0 K: -0.199 eV per atom
V: 948 Å³/cell
Size of the total moment: 0.00 μB per cell

Geometry as CIF:
```
data_Ca2Al12Cu5
_chemical_formula_sum 'Ca6 Al36 Cu15'
_cell_length_a 9.0418
_cell_length_b 9.0418
_cell_length_c 13.3858
_cell_angle_alpha 90.00
_cell_angle_beta 90.00
_cell_angle_gamma 120.00
_space_group_name_H-M_alt 'R -3 m'
_space_group_IT_number 166
_space_group_name_Hall '-R 3 2"'
loop_
_atom_site_label
_atom_site_fract_x
_atom_site_fract_y
_atom_site_fract_z
Ca1 0.0000 0.0000 0.1567
Al1 0.0000 0.2897 0.5000
Al2 0.0107 0.5054 0.3479
Cu1 0.0000 0.0000 0.4010
Cu2 0.0000 0.5000 0.0000
```



[2]
The following is a PBE-GGA calculation of crystalline GaCoCuRu at its relaxed geometry, from Alexandria via LeMat-Bulk.

Formation enthalpy at 0 K: -0.012 eV per atom
V: 206 Å³/cell
Size of the total moment: 8.74 μB per cell

Geometry as CIF:
```
data_GaCoCuRu
_chemical_formula_sum 'Ga4 Co4 Cu4 Ru4'
_cell_length_a 5.9105
_cell_length_b 5.9105
_cell_length_c 5.9105
_cell_angle_alpha 90.00
_cell_angle_beta 90.00
_cell_angle_gamma 90.00
_space_group_name_H-M_alt 'F -4 3 m'
_space_group_IT_number 216
_space_group_name_Hall 'F -4 2 3'
loop_
_atom_site_label
_atom_site_fract_x
_atom_site_fract_y
_atom_site_fract_z
Ga1 0.0000 0.0000 0.0000
Co1 0.0000 0.0000 0.5000
Cu1 0.2500 0.2500 0.2500
Ru1 0.2500 0.2500 0.7500
```



[3]
The following is a PBE-GGA calculation of crystalline Y4CdOs at its relaxed geometry, from Alexandria via LeMat-Bulk.

Formation enthalpy at 0 K: 0.771 eV per atom
V: 617 Å³/cell
Size of the total moment: 4.77 μB per cell

Geometry as CIF:
```
data_Y4CdOs
_chemical_formula_sum 'Y16 Cd4 Os4'
_cell_length_a 8.5125
_cell_length_b 8.5125
_cell_length_c 8.5125
_cell_angle_alpha 90.00
_cell_angle_beta 90.00
_cell_angle_gamma 90.00
_space_group_name_H-M_alt 'F -4 3 m'
_space_group_IT_number 216
_space_group_name_Hall 'F -4 2 3'
loop_
_atom_site_label
_atom_site_fract_x
_atom_site_fract_y
_atom_site_fract_z
Y1 0.1233 0.1233 0.3767
Cd1 0.0000 0.0000 0.0000
Os1 0.2500 0.2500 0.7500
```



[4]
The following is a PBE-GGA calculation of crystalline CsH7O4 at its relaxed geometry, from Alexandria via LeMat-Bulk.

E: -4.85 eV/atom
V: 533 Å³/cell
Size of the total moment: 0.25 μB per cell

Geometry as CIF:
```
data_CsH7O4
_chemical_formula_sum 'Cs4 H28 O16'
_cell_length_a 8.7377
_cell_length_b 6.0943
_cell_length_c 12.4653
_cell_angle_alpha 90.00
_cell_angle_beta 126.62
_cell_angle_gamma 90.00
_space_group_name_H-M_alt 'P 1 21/c 1'
_space_group_IT_number 14
loop_
_space_group_symop_operation_xyz
'x,y,z'
'-x,-y,-z'
'-x,y+1/2,-z+1/2'
'x,-y+1/2,z+1/2'
loop_
_atom_site_label
_atom_site_fract_x
_atom_site_fract_y
_atom_site_fract_z
Cs1 0.1576 0.1437 0.2281
H1 0.1114 0.1183 0.4800
H2 0.1157 0.6253 0.1090
H3 0.3097 0.6257 0.0625
H4 0.3599 0.5304 0.5229
H5 0.3679 0.6671 0.4182
H6 0.4237 0.1899 0.6324
H7 0.4273 0.6142 0.2637
O1 0.0036 0.6879 0.1024
O2 0.2939 0.6510 0.4554
O3 0.3008 0.5135 0.1159
O4 0.4968 0.1712 0.1400
```



[5]
The following is a PBE-GGA calculation of crystalline K2ScW at its relaxed geometry, from Alexandria via LeMat-Bulk.

Formation enthalpy at 0 K: 1.304 eV per atom
V: 315 Å³/cell
Size of the total moment: 0.95 μB per cell

Geometry as CIF:
```
data_K2ScW
_chemical_formula_sum 'K6 Sc3 W3'
_cell_length_a 3.0480
_cell_length_b 3.0480
_cell_length_c 39.1320
_cell_angle_alpha 90.00
_cell_angle_beta 90.00
_cell_angle_gamma 120.00
_space_group_name_H-M_alt 'R -3 m'
_space_group_IT_number 166
_space_group_name_Hall '-R 3 2"'
loop_
_atom_site_label
_atom_site_fract_x
_atom_site_fract_y
_atom_site_fract_z
K1 0.0000 0.0000 0.2442
Sc1 0.0000 0.0000 0.0000
W1 0.0000 0.0000 0.5000
```



[6]
The following is a PBE-GGA calculation of crystalline TlP3 at its relaxed geometry, from Alexandria via LeMat-Bulk.

Formation enthalpy at 0 K: 0.285 eV per atom
V: 286 Å³/cell
Size of the total moment: 0.00 μB per cell

Geometry as CIF:
```
data_TlP3
_chemical_formula_sum 'Tl3 P9'
_cell_length_a 4.3069
_cell_length_b 4.3069
_cell_length_c 17.7914
_cell_angle_alpha 90.00
_cell_angle_beta 90.00
_cell_angle_gamma 120.00
_space_group_name_H-M_alt 'R 3 m'
_space_group_IT_number 160
_space_group_name_Hall 'R 3 -2"'
loop_
_atom_site_label
_atom_site_fract_x
_atom_site_fract_y
_atom_site_fract_z
Tl1 0.0000 0.0000 0.0000
P1 0.0000 0.0000 0.1489
P2 0.0000 0.0000 0.4926
P3 0.0000 0.0000 0.6159
```



[7]
The following is a PBE-GGA calculation of crystalline TiV2PtRh5 at its relaxed geometry, from Alexandria via LeMat-Bulk.

Formation enthalpy at 0 K: -0.058 eV per atom
V: 548 Å³/cell
Size of the total moment: 0.01 μB per cell

Geometry as CIF:
```
data_TiV2PtRh5
_chemical_formula_sum 'Ti4 V8 Pt4 Rh20'
_cell_length_a 7.0233
_cell_length_b 7.0233
_cell_length_c 11.1189
_cell_angle_alpha 90.00
_cell_angle_beta 90.00
_cell_angle_gamma 90.00
_space_group_name_H-M_alt 'I 4/m c m'
_space_group_IT_number 140
_space_group_name_Hall '-I 4 2c'
loop_
_atom_site_label
_atom_site_fract_x
_atom_site_fract_y
_atom_site_fract_z
Ti1 0.0000 0.0000 0.2500
V1 0.1096 0.3904 0.0000
Pt1 0.0000 0.5000 0.2500
Rh1 0.0000 0.0000 0.0000
Rh2 0.2154 0.2846 0.3713
```



[8]
The following is a PBE-GGA calculation of crystalline SmNi3H6 at its relaxed geometry, from Alexandria via LeMat-Bulk.

E: -4.49 eV/atom
V: 248 Å³/cell
Size of the total moment: 0.00 μB per cell

Geometry as CIF:
```
data_SmNi3H6
_chemical_formula_sum 'Sm3 Ni9 H18'
_cell_length_a 4.4883
_cell_length_b 4.4883
_cell_length_c 14.2330
_cell_angle_alpha 90.00
_cell_angle_beta 90.00
_cell_angle_gamma 120.00
_space_group_name_H-M_alt 'R 3'
_space_group_IT_number 146
_space_group_name_Hall 'R 3'
loop_
_atom_site_label
_atom_site_fract_x
_atom_site_fract_y
_atom_site_fract_z
Sm1 0.0000 0.0000 0.0000
Ni1 0.0000 0.0000 0.2101
Ni2 0.0000 0.0000 0.5399
Ni3 0.0000 0.0000 0.8033
H1 0.0003 0.5089 0.9480
H2 0.0292 0.3343 0.1369
```



[9]
The following is a PBE-GGA calculation of crystalline MgBPd3 at its relaxed geometry, from Alexandria via LeMat-Bulk.

Formation enthalpy at 0 K: 0.158 eV per atom
V: 97 Å³/cell
Size of the total moment: 0.00 μB per cell

Geometry as CIF:
```
data_MgBPd3
_chemical_formula_sum 'Mg1 B1 Pd3'
_cell_length_a 3.8661
_cell_length_b 3.8661
_cell_length_c 6.4684
_cell_angle_alpha 90.00
_cell_angle_beta 90.00
_cell_angle_gamma 90.00
_space_group_name_H-M_alt 'P 4 m m'
_space_group_IT_number 99
loop_
_space_group_symop_operation_xyz
'x,y,z'
'-y,x,z'
'-x,-y,z'
'y,-x,z'
'-x,y,z'
'y,x,z'
'x,-y,z'
'-y,-x,z'
loop_
_atom_site_label
_atom_site_fract_x
_atom_site_fract_y
_atom_site_fract_z
Mg1 0.0000 0.0000 0.0000
B1 0.5000 0.5000 0.4251
Pd1 0.0000 0.0000 0.6066
Pd2 0.0000 0.5000 0.2964
```



[10]
The following is a PBE-GGA calculation of crystalline ZrSbPb at its relaxed geometry, from Alexandria via LeMat-Bulk.

V: 78 Å³/cell
Size of the total moment: 0.00 μB per cell
Energy relative to the elements, uncorrected: -95 meV per atom

Geometry as CIF:
```
data_ZrSbPb
_chemical_formula_sum 'Zr1 Sb1 Pb1'
_cell_length_a 3.4561
_cell_length_b 3.4561
_cell_length_c 7.5245
_cell_angle_alpha 90.00
_cell_angle_beta 90.00
_cell_angle_gamma 120.00
_space_group_name_H-M_alt 'P 3 m 1'
_space_group_IT_number 156
loop_
_space_group_symop_operation_xyz
'x,y,z'
'-y,x-y,z'
'-x+y,-x,z'
'-y,-x,z'
'-x+y,y,z'
'x,x-y,z'
loop_
_atom_site_label
_atom_site_fract_x
_atom_site_fract_y
_atom_site_fract_z
Zr1 0.0000 0.0000 0.0000
Sb1 0.3333 0.6667 0.7002
Pb1 0.6667 0.3333 0.3290
```



[11]
The following is a PBE-GGA calculation of crystalline ZrPb2Au2 at its relaxed geometry, from Alexandria via LeMat-Bulk.

Formation enthalpy at 0 K: 0.086 eV per atom
V: 235 Å³/cell
Size of the total moment: 0.00 μB per cell

Geometry as CIF:
```
data_ZrPb2Au2
_chemical_formula_sum 'Zr2 Pb4 Au4'
_cell_length_a 8.1948
_cell_length_b 8.1948
_cell_length_c 3.5051
_cell_angle_alpha 90.00
_cell_angle_beta 90.00
_cell_angle_gamma 90.00
_space_group_name_H-M_alt 'P 4/m b m'
_space_group_IT_number 127
_space_group_name_Hall '-P 4 2ab'
loop_
_atom_site_label
_atom_site_fract_x
_atom_site_fract_y
_atom_site_fract_z
Zr1 0.0000 0.0000 0.0000
Pb1 0.1466 0.3534 0.0000
Au1 0.1557 0.6557 0.5000
```